# 1
Here is a relaxed structure of DyCd4Hg from the Alexandria database. Energies are from PBE.

Unit cell a=5.019 b=5.019 c=6.513 alpha=90.00 beta=90.00 gamma=120.00
Fractional positions:
Cd  0.667  0.333  0.256
Cd  0.667  0.333  0.744
Cd  0.333  0.667  0.744
Cd  0.333  0.667  0.256
Hg  0.000  0.000  0.000
Dy  0.000  0.000  0.500

Results
Distance to the lowest polymorph of the same formula (meV per atom): 0

=====

# 2
Here is a relaxed structure of DyCd12Hg7 from the Alexandria database. Energies are from PBE.

Unit cell a=7.926 b=7.926 c=7.926 alpha=98.56 beta=98.56 gamma=98.56
Fractional positions:
Cd  0.169  0.603  0.603
Cd  0.397  0.397  0.831
Cd  0.397  0.831  0.397
Cd  0.727  0.273  0.000
Cd  0.273  0.000  0.727
Cd  0.000  0.727  0.273
Cd  0.000  0.273  0.727
Cd  0.727  0.000  0.273
Cd  0.603  0.603  0.169
Cd  0.603  0.169  0.603
Cd  0.831  0.397  0.397
Cd  0.273  0.727  0.000
Hg  0.139  0.139  0.402
Hg  0.402  0.139  0.139
Hg  0.500  0.500  0.500
Hg  0.598  0.861  0.861
Hg  0.861  0.861  0.598
Hg  0.861  0.598  0.861
Hg  0.139  0.402  0.139
Dy  0.000  0.000  0.000

Results
Distance to the lowest polymorph of the same formula (meV per atom): 0

=====

# 3
Here is a relaxed structure of Dy2Cd3Hg from the Alexandria database. Energies are from PBE.

Unit cell a=6.034 b=6.034 c=9.244 alpha=102.28 beta=102.28 gamma=110.38
Fractional positions:
Dy  0.252  0.252  0.000
Dy  0.748  0.748  0.000
Dy  0.250  0.750  0.500
Dy  0.750  0.250  0.500
Hg  0.333  0.333  0.667
Hg  0.667  0.667  0.333
Cd  0.166  0.166  0.332
Cd  0.668  0.166  0.834
Cd  0.332  0.834  0.166
Cd  0.834  0.834  0.668
Cd  0.166  0.668  0.834
Cd  0.834  0.332  0.166

=====

# 4
Here is a relaxed structure of DyCd5Hg2 from the Alexandria database. Energies are from PBE.

Unit cell a=3.816 b=6.581 c=15.198 alpha=90.00 beta=90.00 gamma=90.00
Fractional positions:
Hg  0.500  0.229  0.628
Hg  0.500  0.271  0.128
Hg  0.500  0.729  0.872
Hg  0.500  0.771  0.372
Cd  0.500  0.779  0.129
Cd  0.500  0.221  0.871
Cd  0.000  0.000  0.000
Cd  0.500  0.279  0.371
Cd  0.500  0.721  0.629
Cd  0.000  0.500  0.500
Cd  0.000  0.970  0.750
Cd  0.000  0.470  0.750
Cd  0.000  0.530  0.250
Cd  0.000  0.030  0.250
Dy  0.000  0.500  0.000
Dy  0.000  0.000  0.500

=====

# 5
Here is a relaxed structure of DyCd7Hg4 from the Alexandria database. Energies are from PBE.

Unit cell a=6.179 b=8.837 c=6.909 alpha=72.92 beta=63.44 gamma=69.54
Fractional positions:
Cd  0.500  0.000  0.000
Cd  0.256  0.661  0.826
Cd  0.742  0.006  0.511
Cd  0.744  0.339  0.174
Cd  0.004  0.662  0.329
Cd  0.258  0.994  0.489
Cd  0.996  0.338  0.671
Dy  0.000  0.000  0.000
Hg  0.245  0.327  0.184
Hg  0.506  0.667  0.320
Hg  0.755  0.673  0.816
Hg  0.494  0.333  0.680

=====

# 6
Here is a relaxed structure of DyCdHg4 from the Alexandria database. Energies are from PBE.

Unit cell a=6.199 b=8.515 c=6.552 alpha=90.00 beta=121.97 gamma=90.00
Fractional positions:
Hg  0.920  0.670  0.881
Hg  0.414  0.170  0.119
Hg  0.414  0.830  0.627
Hg  0.414  0.830  0.119
Hg  0.920  0.330  0.881
Hg  0.920  0.330  0.373
Hg  0.414  0.170  0.627
Hg  0.920  0.670  0.373
Cd  0.887  0.000  0.610
Cd  0.447  0.500  0.390
Dy  0.904  0.000  0.118
Dy  0.431  0.500  0.882

Results
Distance to the lowest polymorph of the same formula (meV per atom): 0

=====

# 7
Here is a relaxed structure of DyCd6Hg from the Alexandria database. Energies are from PBE.

Unit cell a=4.762 b=6.391 c=6.391 alpha=104.62 beta=90.00 gamma=90.00
Fractional positions:
Hg  0.500  0.359  0.641
Dy  0.000  0.148  0.852
Cd  0.000  0.552  0.448
Cd  0.000  0.044  0.343
Cd  0.500  0.851  0.557
Cd  0.000  0.657  0.956
Cd  0.500  0.443  0.149
Cd  0.500  0.946  0.054

=====

# 8
Here is a relaxed structure of DyCd3Hg from the Alexandria database. Energies are from PBE.

Unit cell a=4.869 b=7.079 c=6.949 alpha=90.00 beta=90.00 gamma=90.00
Fractional positions:
Dy  0.000  0.500  0.736
Dy  0.500  0.000  0.264
Hg  0.000  0.000  0.543
Hg  0.500  0.500  0.457
Cd  0.500  0.198  0.759
Cd  0.000  0.000  0.953
Cd  0.500  0.802  0.759
Cd  0.000  0.302  0.241
Cd  0.500  0.500  0.047
Cd  0.000  0.698  0.241

=====

no.,electronic total energy (eV for the cell shown),DFT formation energy (meV per atom)
1,-9.679,-186
2,-18.597,-45
3,-28.620,-343
4,-21.567,-125
5,-11.896,27
6,-15.543,-175
7,-11.487,-137
8,-17.037,-174